The following is a PBE-GGA calculation of a relaxed TbPmY3 crystal, from the Alexandria database.

a = 6.3306 Å, b = 5.7057 Å, c = 9.6756 Å
α = 90.00°, β = 108.98°, γ = 90.00°
With the nearest neighbours (Å) after each atom.
Atoms (fractional coordinates):
Tb1 0.2306 0.2500 0.3005  10 Y 3.54-3.68, 2 Pm 3.64-3.66
Tb2 0.7694 0.7500 0.6995  10 Y 3.54-3.68, 2 Pm 3.64-3.66
Pm1 0.3670 0.7500 0.8982  8 Y 3.54-3.70, 2 Pm 3.56, 2 Tb 3.64-3.66
Pm2 0.6330 0.2500 0.1018  8 Y 3.54-3.70, 2 Pm 3.56, 2 Tb 3.64-3.66
Y1 0.0352 0.2500 0.8988  4 Pm 3.54-3.69, 3 Tb 3.55-3.68, 5 Y 3.57-3.66
Y2 0.1676 0.7500 0.5005  4 Tb 3.54-3.67, 7 Y 3.54-3.67, 1 Pm 3.64
Y3 0.4356 0.2500 0.6976  6 Y 3.54-3.67, 3 Tb 3.55-3.63, 3 Pm 3.56-3.70
Y4 0.5644 0.7500 0.3024  6 Y 3.54-3.67, 3 Tb 3.55-3.63, 3 Pm 3.56-3.70
Y5 0.8324 0.2500 0.4995  4 Tb 3.54-3.67, 7 Y 3.54-3.67, 1 Pm 3.64
Y6 0.9648 0.7500 0.1012  4 Pm 3.54-3.69, 3 Tb 3.55-3.68, 5 Y 3.57-3.66

Properties
Its symmetry is P2_1/m. The formation energy is 0.043 eV per formula unit.

The following is a PBE-GGA calculation of a relaxed Tb4Pm3Y2 crystal, from the Alexandria database.

a = 8.0317 Å, b = 8.0317 Å, c = 8.0241 Å
α = 107.32°, β = 107.32°, γ = 36.95°
With the nearest neighbours (Å) after each atom.
Atoms (fractional coordinates):
Tb1 0.1672 0.1672 0.9999  5 Tb 3.57-3.59, 5 Pm 3.58-3.60, 2 Y 3.58-3.61
Tb2 0.2777 0.2777 0.6676  5 Tb 3.57-3.60, 4 Pm 3.58-3.59, 3 Y 3.59
Tb3 0.7223 0.7223 0.3324  5 Tb 3.57-3.60, 4 Pm 3.58-3.59, 3 Y 3.59
Tb4 0.8328 0.8328 0.0001  5 Tb 3.57-3.59, 5 Pm 3.58-3.60, 2 Y 3.58-3.61
Pm1 0.3878 0.3878 0.3334  6 Tb 3.58-3.59, 2 Pm 3.60-3.62, 4 Y 3.60-3.62
Pm2 0.5000 0.5000 0.0000  4 Y 3.59, 6 Tb 3.59-3.60, 2 Pm 3.60
Pm3 0.6122 0.6122 0.6666  6 Tb 3.58-3.59, 2 Pm 3.60-3.62, 4 Y 3.60-3.62
Y1 0.0562 0.0562 0.3327  5 Tb 3.58-3.61, 6 Pm 3.59-3.62, 1 Y 3.61
Y2 0.9438 0.9438 0.6673  5 Tb 3.58-3.61, 6 Pm 3.59-3.62, 1 Y 3.61

Properties
Its symmetry is C2/m. The formation energy is 0.150 eV per formula unit.

The following is a PBE-GGA calculation of a relaxed Tb3PmY3 crystal, from the Alexandria database.

a = 6.3464 Å, b = 6.3464 Å, c = 6.3464 Å
α = 102.66°, β = 102.66°, γ = 102.66°
With the nearest neighbours (Å) after each atom.
Atoms (fractional coordinates):
Tb1 0.2157 0.2157 0.5686  1 Pm 3.14, 2 Y 3.33, 2 Tb 3.50
Tb2 0.2157 0.5686 0.2157  1 Pm 3.14, 2 Y 3.33, 2 Tb 3.50
Tb3 0.5686 0.2157 0.2157  1 Pm 3.14, 2 Y 3.33, 2 Tb 3.50
Pm1 0.6257 0.6257 0.6257  3 Tb 3.14, 6 Y 3.26-3.46
Y1 0.1734 0.7737 0.7737  2 Pm 3.26-3.46, 5 Tb 3.33-3.59
Y2 0.7737 0.1734 0.7737  2 Pm 3.26-3.46, 5 Tb 3.33-3.59
Y3 0.7737 0.7737 0.1734  2 Pm 3.26-3.46, 5 Tb 3.33-3.59

Properties
Its symmetry is R3m. The polymorph energy (0 for the lowest one) is 0.0932 eV per atom. The formation energy is 1.651 eV per formula unit.

The following is a PBE-GGA calculation of a relaxed Tb12Pm6Y crystal, from the Alexandria database.

a = 8.7677 Å, b = 8.7677 Å, c = 8.7677 Å
α = 98.73°, β = 98.73°, γ = 98.73°
With the nearest neighbours (Å) after each atom.
Atoms (fractional coordinates):
Tb1 0.0000 0.2582 0.7418  6 Tb 3.36-3.55, 4 Pm 3.51-3.57
Tb2 0.0000 0.7418 0.2582  6 Tb 3.36-3.55, 4 Pm 3.51-3.57
Tb3 0.1442 0.1442 0.4170  6 Tb 3.36-3.63, 2 Pm 3.74
Tb4 0.1442 0.4170 0.1442  6 Tb 3.36-3.63, 2 Pm 3.74
Tb5 0.2582 0.0000 0.7418  6 Tb 3.36-3.55, 4 Pm 3.51-3.57
Tb6 0.2582 0.7418 0.0000  6 Tb 3.36-3.55, 4 Pm 3.51-3.57
Tb7 0.4170 0.1442 0.1442  6 Tb 3.36-3.63, 2 Pm 3.74
Tb8 0.5830 0.8558 0.8558  6 Tb 3.36-3.63, 2 Pm 3.74
Tb9 0.7418 0.0000 0.2582  6 Tb 3.36-3.55, 4 Pm 3.51-3.57
Tb10 0.7418 0.2582 0.0000  6 Tb 3.36-3.55, 4 Pm 3.51-3.57
Tb11 0.8558 0.5830 0.8558  6 Tb 3.36-3.63, 2 Pm 3.74
Tb12 0.8558 0.8558 0.5830  6 Tb 3.36-3.63, 2 Pm 3.74
Pm1 0.1572 0.5960 0.5960  1 Pm 3.10, 1 Y 3.43
Pm2 0.4040 0.4040 0.8428  1 Pm 3.10, 1 Y 3.43
Pm3 0.4040 0.8428 0.4040  1 Pm 3.10, 1 Y 3.43
Pm4 0.5960 0.1572 0.5960  1 Pm 3.10, 1 Y 3.43
Pm5 0.5960 0.5960 0.1572  1 Pm 3.10, 1 Y 3.43
Pm6 0.8428 0.4040 0.4040  1 Pm 3.10, 1 Y 3.43
Y1 0.5000 0.5000 0.5000  6 Pm 3.43

Properties
Its symmetry is R-3m. The polymorph energy (0 for the lowest one) is 0.0362 eV per atom. The formation energy is 3.978 eV per formula unit.

The following is a PBE-GGA calculation of a relaxed TbPm6Y2 crystal, from the Alexandria database.

a = 8.8598 Å, b = 8.8598 Å, c = 9.0710 Å
α = 91.45°, β = 91.45°, γ = 61.32°
With the nearest neighbours (Å) after each atom.
Atoms (fractional coordinates):
Tb1 0.2086 0.7914 0.7500  8 Pm 3.40-3.70, 2 Y 3.57
Tb2 0.7914 0.2086 0.2500  8 Pm 3.40-3.70, 2 Y 3.57
Pm1 0.0194 0.3041 0.9735  5 Pm 3.25-3.59, 3 Y 3.32-3.53, 1 Tb 3.62
Pm2 0.0883 0.7760 0.3938  5 Pm 3.30-3.69, 1 Tb 3.40, 2 Y 3.42-3.65
Pm3 0.2240 0.9117 0.1062  5 Pm 3.30-3.69, 1 Tb 3.40, 2 Y 3.42-3.65
Pm4 0.3041 0.0194 0.4735  5 Pm 3.25-3.59, 3 Y 3.32-3.53, 1 Tb 3.62
Pm5 0.3773 0.4011 0.0768  1 Pm 3.25, 1 Tb 3.56, 1 Y 3.61
Pm6 0.4011 0.3773 0.5768  1 Pm 3.25, 1 Tb 3.56, 1 Y 3.61
Pm7 0.5989 0.6227 0.4232  1 Pm 3.25, 1 Tb 3.56, 1 Y 3.61
Pm8 0.6227 0.5989 0.9232  1 Pm 3.25, 1 Tb 3.56, 1 Y 3.61
Pm9 0.6959 0.9806 0.5265  5 Pm 3.25-3.59, 3 Y 3.32-3.53, 1 Tb 3.62
Pm10 0.7760 0.0883 0.8938  5 Pm 3.30-3.69, 1 Tb 3.40, 2 Y 3.42-3.65
Pm11 0.9117 0.2240 0.6062  5 Pm 3.30-3.69, 1 Tb 3.40, 2 Y 3.42-3.65
Pm12 0.9806 0.6959 0.0265  5 Pm 3.25-3.59, 3 Y 3.32-3.53, 1 Tb 3.62
Y1 0.0454 0.4175 0.3213  7 Pm 3.32-3.67, 1 Y 3.47, 1 Tb 3.57
Y2 0.4175 0.0454 0.8213  7 Pm 3.32-3.67, 1 Y 3.47, 1 Tb 3.57
Y3 0.5825 0.9546 0.1787  7 Pm 3.32-3.67, 1 Y 3.47, 1 Tb 3.57
Y4 0.9546 0.5825 0.6787  7 Pm 3.32-3.67, 1 Y 3.47, 1 Tb 3.57

Properties
Its symmetry is C2/c. The polymorph energy (0 for the lowest one) is 0.0000 eV per atom. The formation energy is 1.706 eV per formula unit.

The following is a PBE-GGA calculation of a relaxed TbPmY crystal, from the Alexandria database.

a = 6.3838 Å, b = 3.5740 Å, c = 8.8553 Å
α = 90.00°, β = 90.00°, γ = 90.00°
With the nearest neighbours (Å) after each atom.
Atoms (fractional coordinates):
Tb1 0.0000 0.0000 0.0000  4 Tb 3.19-3.57, 2 Pm 3.54
Tb2 0.5000 0.0000 0.0000  4 Tb 3.19-3.57, 2 Pm 3.54
Pm1 0.2500 0.0000 0.3573  6 Y 3.51-3.69, 2 Tb 3.54, 2 Pm 3.57
Pm2 0.7500 0.0000 0.6427  6 Y 3.51-3.69, 2 Tb 3.54, 2 Pm 3.57
Y1 0.2500 0.5000 0.6988  6 Pm 3.51-3.69, 2 Y 3.57, 4 Tb 3.59
Y2 0.7500 0.5000 0.3012  6 Pm 3.51-3.69, 2 Y 3.57, 4 Tb 3.59

Properties
Its symmetry is Pmma. The polymorph energy (0 for the lowest one) is 0.1679 eV per atom. The formation energy is 0.521 eV per formula unit.

The following is a PBE-GGA calculation of a relaxed TbPm5Y8 crystal, from the Alexandria database.

a = 8.5097 Å, b = 8.5097 Å, c = 8.5097 Å
α = 110.95°, β = 110.95°, γ = 106.56°
With the nearest neighbours (Å) after each atom.
Atoms (fractional coordinates):
Tb1 0.0000 0.0000 0.0000  4 Y 3.22
Pm1 0.2173 0.0409 0.6040  8 Y 3.39-3.58, 2 Pm 3.63
Pm2 0.3867 0.7827 0.8235  8 Y 3.39-3.58, 2 Pm 3.63
Pm3 0.4369 0.6133 0.3960  8 Y 3.39-3.58, 2 Pm 3.63
Pm4 0.7500 0.2500 0.5000  8 Y 3.14-3.35
Pm5 0.9591 0.5631 0.1765  8 Y 3.39-3.58, 2 Pm 3.63
Y1 0.0807 0.3202 0.4072  3 Pm 3.14-3.45, 1 Tb 3.22
Y2 0.1700 0.4175 0.8957  5 Pm 3.35-3.56, 3 Y 3.66-3.69
Y3 0.3265 0.9193 0.2395  3 Pm 3.14-3.45, 1 Tb 3.22
Y4 0.5217 0.2743 0.1043  5 Pm 3.35-3.56, 3 Y 3.66-3.69
Y5 0.5825 0.4783 0.7526  5 Pm 3.35-3.56, 3 Y 3.66-3.69
Y6 0.6798 0.0870 0.7605  3 Pm 3.14-3.45, 1 Tb 3.22
Y7 0.7257 0.8300 0.2474  5 Pm 3.35-3.56, 3 Y 3.66-3.69
Y8 0.9130 0.6735 0.5928  3 Pm 3.14-3.45, 1 Tb 3.22

Properties
Its symmetry is I-4. The formation energy is 3.304 eV per formula unit.

The following is a PBE-GGA calculation of a relaxed Tb2Pm3Y4 crystal, from the Alexandria database.

a = 6.2206 Å, b = 6.2206 Å, c = 14.8161 Å
α = 110.48°, β = 110.48°, γ = 33.61°
With the nearest neighbours (Å) after each atom.
Atoms (fractional coordinates):
Tb1 0.0543 0.0543 0.2208  4 Pm 3.58-3.59, 6 Y 3.58-3.60, 2 Tb 3.60
Tb2 0.9457 0.9457 0.7792  4 Pm 3.58-3.59, 6 Y 3.58-3.60, 2 Tb 3.60
Pm1 0.3896 0.3896 0.5575  5 Y 3.57-3.62, 2 Tb 3.59, 5 Pm 3.60-3.62
Pm2 0.5000 0.5000 0.0000  4 Tb 3.58, 6 Y 3.59, 2 Pm 3.60
Pm3 0.6104 0.6104 0.4425  5 Y 3.57-3.62, 2 Tb 3.59, 5 Pm 3.60-3.62
Y1 0.1680 0.1680 0.6673  5 Pm 3.57-3.62, 4 Y 3.59-3.60, 3 Tb 3.59-3.60
Y2 0.2777 0.2777 0.1113  3 Tb 3.58-3.59, 6 Y 3.59-3.60, 3 Pm 3.59
Y3 0.7223 0.7223 0.8887  3 Tb 3.58-3.59, 6 Y 3.59-3.60, 3 Pm 3.59
Y4 0.8320 0.8320 0.3327  5 Pm 3.57-3.62, 4 Y 3.59-3.60, 3 Tb 3.59-3.60

Properties
Its symmetry is C2/m. The polymorph energy (0 for the lowest one) is 0.0000 eV per atom. The formation energy is 0.143 eV per formula unit.

The following is a PBE-GGA calculation of a relaxed Tb7Pm3Y2 crystal, from the Alexandria database.

a = 5.8620 Å, b = 3.5761 Å, c = 18.9110 Å
α = 90.00°, β = 93.11°, γ = 90.00°
With the nearest neighbours (Å) after each atom.
Atoms (fractional coordinates):
Tb1 0.0000 0.0000 0.0000  4 Tb 3.34-3.58, 4 Pm 3.43
Tb2 0.1918 0.5000 0.1770  6 Tb 3.47-3.58, 2 Y 3.66-3.67, 1 Pm 3.89
Tb3 0.2569 0.5000 0.5368  1 Y 3.21, 4 Tb 3.24-3.58
Tb4 0.3104 0.0000 0.8569  7 Tb 3.34-3.58, 2 Y 3.35, 2 Pm 3.38
Tb5 0.6896 0.0000 0.1431  7 Tb 3.34-3.58, 2 Y 3.35, 2 Pm 3.38
Tb6 0.7431 0.5000 0.4632  1 Y 3.21, 4 Tb 3.24-3.58
Tb7 0.8082 0.5000 0.8230  6 Tb 3.47-3.58, 2 Y 3.66-3.67, 1 Pm 3.89
Pm1 0.2224 0.0000 0.3675  2 Pm 3.58, 6 Tb 3.66-3.90, 4 Y 3.70-3.72
Pm2 0.5000 0.5000 0.0000  8 Tb 3.38-3.43, 2 Pm 3.58
Pm3 0.7776 0.0000 0.6325  2 Pm 3.58, 6 Tb 3.66-3.90, 4 Y 3.70-3.72
Y1 0.2886 0.5000 0.7066  3 Tb 3.21-3.35, 2 Y 3.58
Y2 0.7114 0.5000 0.2934  3 Tb 3.21-3.35, 2 Y 3.58

Properties
Its symmetry is P2/m. The polymorph energy (0 for the lowest one) is 0.0068 eV per atom. The formation energy is 1.047 eV per formula unit.

Please write out number 6 again, unchanged.
The following is a PBE-GGA calculation of a relaxed TbPmY crystal, from the Alexandria database.

a = 6.3838 Å, b = 3.5740 Å, c = 8.8553 Å
α = 90.00°, β = 90.00°, γ = 90.00°
With the nearest neighbours (Å) after each atom.
Atoms (fractional coordinates):
Tb1 0.0000 0.0000 0.0000  4 Tb 3.19-3.57, 2 Pm 3.54
Tb2 0.5000 0.0000 0.0000  4 Tb 3.19-3.57, 2 Pm 3.54
Pm1 0.2500 0.0000 0.3573  6 Y 3.51-3.69, 2 Tb 3.54, 2 Pm 3.57
Pm2 0.7500 0.0000 0.6427  6 Y 3.51-3.69, 2 Tb 3.54, 2 Pm 3.57
Y1 0.2500 0.5000 0.6988  6 Pm 3.51-3.69, 2 Y 3.57, 4 Tb 3.59
Y2 0.7500 0.5000 0.3012  6 Pm 3.51-3.69, 2 Y 3.57, 4 Tb 3.59

Properties
Its symmetry is Pmma. The polymorph energy (0 for the lowest one) is 0.1679 eV per atom. The formation energy is 0.521 eV per formula unit.

Please write out number 4 again, unchanged.
The following is a PBE-GGA calculation of a relaxed Tb12Pm6Y crystal, from the Alexandria database.

a = 8.7677 Å, b = 8.7677 Å, c = 8.7677 Å
α = 98.73°, β = 98.73°, γ = 98.73°
With the nearest neighbours (Å) after each atom.
Atoms (fractional coordinates):
Tb1 0.0000 0.2582 0.7418  6 Tb 3.36-3.55, 4 Pm 3.51-3.57
Tb2 0.0000 0.7418 0.2582  6 Tb 3.36-3.55, 4 Pm 3.51-3.57
Tb3 0.1442 0.1442 0.4170  6 Tb 3.36-3.63, 2 Pm 3.74
Tb4 0.1442 0.4170 0.1442  6 Tb 3.36-3.63, 2 Pm 3.74
Tb5 0.2582 0.0000 0.7418  6 Tb 3.36-3.55, 4 Pm 3.51-3.57
Tb6 0.2582 0.7418 0.0000  6 Tb 3.36-3.55, 4 Pm 3.51-3.57
Tb7 0.4170 0.1442 0.1442  6 Tb 3.36-3.63, 2 Pm 3.74
Tb8 0.5830 0.8558 0.8558  6 Tb 3.36-3.63, 2 Pm 3.74
Tb9 0.7418 0.0000 0.2582  6 Tb 3.36-3.55, 4 Pm 3.51-3.57
Tb10 0.7418 0.2582 0.0000  6 Tb 3.36-3.55, 4 Pm 3.51-3.57
Tb11 0.8558 0.5830 0.8558  6 Tb 3.36-3.63, 2 Pm 3.74
Tb12 0.8558 0.8558 0.5830  6 Tb 3.36-3.63, 2 Pm 3.74
Pm1 0.1572 0.5960 0.5960  1 Pm 3.10, 1 Y 3.43
Pm2 0.4040 0.4040 0.8428  1 Pm 3.10, 1 Y 3.43
Pm3 0.4040 0.8428 0.4040  1 Pm 3.10, 1 Y 3.43
Pm4 0.5960 0.1572 0.5960  1 Pm 3.10, 1 Y 3.43
Pm5 0.5960 0.5960 0.1572  1 Pm 3.10, 1 Y 3.43
Pm6 0.8428 0.4040 0.4040  1 Pm 3.10, 1 Y 3.43
Y1 0.5000 0.5000 0.5000  6 Pm 3.43

Properties
Its symmetry is R-3m. The polymorph energy (0 for the lowest one) is 0.0362 eV per atom. The formation energy is 3.978 eV per formula unit.